Here is an optimized crystal structure of BaSrCd2Pb2 from Alexandria via LeMat-Bulk. Energies are from PBE.

## Properties
The total moment comes out at 0.000 μB per cell. For the formation energy, the calculation gives -441 meV per atom. Its space-group type is P-3m1.

Geometry as POSCAR:
```
BaSrCd2Pb2
1.0
5.1505 0.0000 0.0000
-2.5753 4.4605 0.0000
0.0000 0.0000 8.7586
Ba Sr Cd Pb
1 1 2 2
direct
0.0000 0.0000 0.0000
0.0000 0.0000 0.5000
0.3333 0.6667 0.6976
0.6667 0.3333 0.3024
0.3333 0.6667 0.2505
0.6667 0.3333 0.7495
```

---

Here is an optimized crystal structure of SrCoIr2 from Alexandria via LeMat-Bulk. Energies are from PBE.

## Properties
The total moment comes out at 1.414 μB per cell. As for the energy above the lowest structure with this stoichiometry: 0.380 eV per atom. For the formation energy, the calculation gives 308 meV per atom. Its space-group type is Pm.

Geometry as POSCAR:
```
SrCoIr2
1.0
2.8648 0.0000 0.0000
0.0000 4.2878 0.0000
-1.4206 0.0000 5.9153
Sr Co Ir
1 1 2
direct
0.0000 0.0000 0.0000
0.6385 0.5000 0.2802
0.3127 0.5000 0.6303
0.7449 0.0000 0.4948
```

---

Here is an optimized crystal structure of ZrNb14Re from Alexandria via LeMat-Bulk. Energies are from PBE.

## Properties
The total moment comes out at 0.000 μB per cell. For the formation energy, the calculation gives -41 meV per atom. Its space-group type is P4/mmm.

Geometry as POSCAR:
```
ZrNb14Re
1.0
6.6360 0.0000 0.0000
0.0000 6.6360 0.0000
0.0000 0.0000 6.6025
Zr Nb Re
1 14 1
direct
0.0000 0.0000 0.0000
0.0000 0.0000 0.5000
0.0000 0.5000 0.0000
0.0000 0.5000 0.5000
0.2565 0.2565 0.2495
0.2565 0.2565 0.7505
0.2565 0.7435 0.2495
0.2565 0.7435 0.7505
0.5000 0.0000 0.0000
0.5000 0.0000 0.5000
0.5000 0.5000 0.5000
0.7435 0.2565 0.2495
0.7435 0.2565 0.7505
0.7435 0.7435 0.2495
0.7435 0.7435 0.7505
0.5000 0.5000 0.0000
```

---

Here is an optimized crystal structure of SrNbAg2 from Alexandria via LeMat-Bulk. Energies are from PBE.

## Properties
The total moment comes out at 5.915 μB per cell. As for the energy above the lowest structure with this stoichiometry: 0.195 eV per atom. For the formation energy, the calculation gives 672 meV per atom. Its space-group type is I-42d.

Geometry as POSCAR:
```
SrNbAg2
1.0
-4.0327 4.0327 3.2211
4.0327 -4.0327 3.2211
4.0327 4.0327 -3.2211
Sr Nb Ag
2 2 4
direct
0.0000 0.0000 0.0000
0.7500 0.2500 0.5000
0.2500 0.7500 0.5000
0.5000 0.5000 0.0000
0.1654 0.6250 0.0404
0.3750 0.4154 0.5404
0.5846 0.1250 0.9596
0.8750 0.8346 0.4596
```

---

Here is an optimized crystal structure of PaCoSe2 from Alexandria via LeMat-Bulk. Energies are from PBE.

## Properties
The total moment comes out at 0.000 μB per cell. As for the energy above the lowest structure with this stoichiometry: 0.000 eV per atom. The energy relative to the elements, uncorrected comes out at -980 meV per atom. Its space-group type is P2_1/c.

Geometry as POSCAR:
```
PaCoSe2
1.0
8.0648 0.0000 0.0000
0.0000 7.6526 0.0000
-3.2535 0.0000 6.9811
Pa Co Se
4 4 8
direct
0.0559 0.0049 0.2595
0.0559 0.4951 0.7595
0.9441 0.5049 0.2405
0.9441 0.9951 0.7405
0.1007 0.7176 0.6064
0.1007 0.7824 0.1064
0.8993 0.2176 0.8936
0.8993 0.2824 0.3936
0.1949 0.1958 0.6160
0.1949 0.3042 0.1160
0.2902 0.6797 0.4361
0.2902 0.8203 0.9361
0.7098 0.1797 0.0639
0.7098 0.3203 0.5639
0.8051 0.6958 0.8840
0.8051 0.8042 0.3840
```

---

Here is an optimized crystal structure of K12Rb2Na7 from Alexandria via LeMat-Bulk. Energies are from PBE.

## Properties
The total moment comes out at 0.000 μB per cell. For the formation energy, the calculation gives 27 meV per atom. Its space-group type is P-6.

Geometry as POSCAR:
```
K12Rb2Na7
1.0
18.0224 0.0000 0.0000
-9.0112 15.6078 0.0000
0.0000 0.0000 4.6143
K Rb Na
12 2 7
direct
0.0451 0.2604 0.0000
0.1104 0.7030 0.5000
0.2154 0.9549 0.0000
0.2970 0.4075 0.5000
0.4058 0.1841 0.5000
0.5323 0.4350 0.0000
0.5650 0.0974 0.0000
0.5925 0.8896 0.5000
0.7396 0.7846 0.0000
0.7783 0.5942 0.5000
0.8159 0.2217 0.5000
0.9026 0.4677 0.0000
0.0000 0.0000 0.5000
0.3333 0.6667 0.0000
0.1005 0.4714 0.5000
0.2247 0.1902 0.0000
0.3708 0.8995 0.5000
0.5286 0.6292 0.5000
0.6667 0.3333 0.5000
0.8098 0.0345 0.0000
0.9655 0.7753 0.0000
```

---

Question: What is the formula in the fifth record?
Answer: PaCoSe2